--- A ---
# BaCa4Mg, relaxed, DFT PBE
data_BaCa4Mg
_chemical_formula_sum 'Ba4 Ca16 Mg4'
_space_group_name_H-M_alt 'F -4 3 m'
_space_group_IT_number 216
_space_group_name_Hall 'F -4 2 3'
_cell_length_a 10.210
_cell_length_b 10.210
_cell_length_c 10.210
_cell_angle_alpha 90.00
_cell_angle_beta 90.00
_cell_angle_gamma 90.00
loop_
_atom_site_label
_atom_site_fract_x
_atom_site_fract_y
_atom_site_fract_z
Ba1 0.000 0.000 0.000
Ca1 0.124 0.124 0.624
Mg1 0.250 0.250 0.250
# Density of states at the Fermi level, states/eV/f.u.: 5.6
# Size of the total moment, μB/cell: 0.0
# Crystal system: cubic

--- B ---
# BaCa4Mg, relaxed, DFT PBE
data_BaCa4Mg
_chemical_formula_sum 'Ba1 Ca4 Mg1'
_space_group_name_H-M_alt 'P 4/m m m'
_space_group_IT_number 123
_space_group_name_Hall '-P 4 2'
_cell_length_a 4.127
_cell_length_b 4.127
_cell_length_c 14.719
_cell_angle_alpha 90.00
_cell_angle_beta 90.00
_cell_angle_gamma 90.00
loop_
_atom_site_label
_atom_site_fract_x
_atom_site_fract_y
_atom_site_fract_z
Ba1 0.000 0.000 0.000
Ca1 0.000 0.000 0.374
Ca2 0.500 0.500 0.205
Mg1 0.500 0.500 0.500
# Density of states at the Fermi level, states/eV/f.u.: 7.8
# Size of the total moment, μB/cell: 0.0
# Crystal system: tetragonal

It turns out B is the most stable, with the second structure 162 meV/atom higher.

--- A ---
# BaCa2MgNb, relaxed, DFT PBE
data_BaCa2MgNb
_chemical_formula_sum 'Ba1 Ca2 Mg1 Nb1'
_space_group_name_H-M_alt 'P 4/m m m'
_space_group_IT_number 123
_space_group_name_Hall '-P 4 2'
_cell_length_a 5.938
_cell_length_b 5.938
_cell_length_c 6.305
_cell_angle_alpha 90.00
_cell_angle_beta 90.00
_cell_angle_gamma 90.00
loop_
_atom_site_label
_atom_site_fract_x
_atom_site_fract_y
_atom_site_fract_z
Ba1 0.000 0.000 0.000
Ca1 0.000 0.500 0.500
Mg1 0.000 0.000 0.500
Nb1 0.500 0.500 0.000
# Density of states at the Fermi level, states/eV/f.u.: 3.9
# Size of the total moment, μB/cell: 4.3
# Crystal system: tetragonal

--- B ---
# BaCa2MgNb, relaxed, DFT PBE
data_BaCa2MgNb
_chemical_formula_sum 'Ba1 Ca2 Mg1 Nb1'
_space_group_name_H-M_alt 'P 4/m m m'
_space_group_IT_number 123
_space_group_name_Hall '-P 4 2'
_cell_length_a 5.698
_cell_length_b 5.698
_cell_length_c 5.700
_cell_angle_alpha 90.00
_cell_angle_beta 90.00
_cell_angle_gamma 90.00
loop_
_atom_site_label
_atom_site_fract_x
_atom_site_fract_y
_atom_site_fract_z
Ba1 0.000 0.000 0.000
Ca1 0.000 0.500 0.500
Mg1 0.500 0.500 0.000
Nb1 0.500 0.500 0.500
# Density of states at the Fermi level, states/eV/f.u.: 3.5
# Size of the total moment, μB/cell: 0.9
# Crystal system: tetragonal

It turns out B is the most stable, with the second structure 442 meV/atom higher.

--- A ---
# Ba2CaMgNi, relaxed, DFT PBE
data_Ba2CaMgNi
_chemical_formula_sum 'Ba2 Ca1 Mg1 Ni1'
_space_group_name_H-M_alt 'P 4/m m m'
_space_group_IT_number 123
_space_group_name_Hall '-P 4 2'
_cell_length_a 6.087
_cell_length_b 6.087
_cell_length_c 5.234
_cell_angle_alpha 90.00
_cell_angle_beta 90.00
_cell_angle_gamma 90.00
loop_
_atom_site_label
_atom_site_fract_x
_atom_site_fract_y
_atom_site_fract_z
Ba1 0.000 0.500 0.000
Ca1 0.000 0.000 0.500
Mg1 0.500 0.500 0.500
Ni1 0.500 0.500 0.000
# Density of states at the Fermi level, states/eV/f.u.: 4.9
# Size of the total moment, μB/cell: 0.0
# Crystal system: tetragonal

--- B ---
# Ba2CaMgNi, relaxed, DFT PBE
data_Ba2CaMgNi
_chemical_formula_sum 'Ba2 Ca1 Mg1 Ni1'
_space_group_name_H-M_alt 'P 4/m m m'
_space_group_IT_number 123
_space_group_name_Hall '-P 4 2'
_cell_length_a 6.045
_cell_length_b 6.045
_cell_length_c 5.541
_cell_angle_alpha 90.00
_cell_angle_beta 90.00
_cell_angle_gamma 90.00
loop_
_atom_site_label
_atom_site_fract_x
_atom_site_fract_y
_atom_site_fract_z
Ba1 0.000 0.500 0.000
Ca1 0.000 0.000 0.500
Mg1 0.500 0.500 0.500
Ni1 0.000 0.000 0.000
# Density of states at the Fermi level, states/eV/f.u.: 3.1
# Size of the total moment, μB/cell: 0.0
# Crystal system: tetragonal

It turns out B is the most stable, with the second structure 30 meV/atom higher.

--- A ---
# BaCa2MgNi, relaxed, DFT PBE
data_BaCa2MgNi
_chemical_formula_sum 'Ba1 Ca2 Mg1 Ni1'
_space_group_name_H-M_alt 'P 4/m m m'
_space_group_IT_number 123
_space_group_name_Hall '-P 4 2'
_cell_length_a 5.556
_cell_length_b 5.556
_cell_length_c 5.298
_cell_angle_alpha 90.00
_cell_angle_beta 90.00
_cell_angle_gamma 90.00
loop_
_atom_site_label
_atom_site_fract_x
_atom_site_fract_y
_atom_site_fract_z
Ba1 0.000 0.000 0.000
Ca1 0.000 0.500 0.500
Mg1 0.500 0.500 0.000
Ni1 0.500 0.500 0.500
# Density of states at the Fermi level, states/eV/f.u.: 5.2
# Size of the total moment, μB/cell: 0.0
# Crystal system: tetragonal

--- B ---
# BaCa2MgNi, relaxed, DFT PBE
data_BaCa2MgNi
_chemical_formula_sum 'Ba1 Ca2 Mg1 Ni1'
_space_group_name_H-M_alt 'P 4/m m m'
_space_group_IT_number 123
_space_group_name_Hall '-P 4 2'
_cell_length_a 5.536
_cell_length_b 5.536
_cell_length_c 5.932
_cell_angle_alpha 90.00
_cell_angle_beta 90.00
_cell_angle_gamma 90.00
loop_
_atom_site_label
_atom_site_fract_x
_atom_site_fract_y
_atom_site_fract_z
Ba1 0.000 0.000 0.000
Ca1 0.000 0.500 0.500
Mg1 0.500 0.500 0.000
Ni1 0.000 0.000 0.500
# Density of states at the Fermi level, states/eV/f.u.: 3.6
# Size of the total moment, μB/cell: 0.0
# Crystal system: tetragonal

It turns out A is the most stable, with the second structure 44 meV/atom higher.

--- A ---
# BaCaMg6O8, relaxed, DFT PBE
data_BaCaMg6O8
_chemical_formula_sum 'Ba1 Ca1 Mg6 O8'
_space_group_name_H-M_alt 'P 4/m m m'
_space_group_IT_number 123
_space_group_name_Hall '-P 4 2'
_cell_length_a 4.731
_cell_length_b 4.731
_cell_length_c 9.002
_cell_angle_alpha 90.00
_cell_angle_beta 90.00
_cell_angle_gamma 90.00
loop_
_atom_site_label
_atom_site_fract_x
_atom_site_fract_y
_atom_site_fract_z
Ba1 0.000 0.000 0.000
Ca1 0.500 0.500 0.000
Mg1 0.000 0.000 0.500
Mg2 0.000 0.500 0.274
Mg3 0.500 0.500 0.500
O1 0.000 0.000 0.284
O2 0.000 0.500 0.000
O3 0.000 0.500 0.500
O4 0.500 0.500 0.269
# Size of the total moment, μB/cell: 0.0
# Crystal system: tetragonal

--- B ---
# BaCaMg6O8, relaxed, DFT PBE
data_BaCaMg6O8
_chemical_formula_sum 'Ba1 Ca1 Mg6 O8'
_space_group_name_H-M_alt 'P 4/m m m'
_space_group_IT_number 123
_space_group_name_Hall '-P 4 2'
_cell_length_a 4.680
_cell_length_b 4.680
_cell_length_c 9.241
_cell_angle_alpha 90.00
_cell_angle_beta 90.00
_cell_angle_gamma 90.00
loop_
_atom_site_label
_atom_site_fract_x
_atom_site_fract_y
_atom_site_fract_z
Ba1 0.000 0.000 0.000
Ca1 0.000 0.000 0.500
Mg1 0.000 0.500 0.264
Mg2 0.500 0.500 0.000
Mg3 0.500 0.500 0.500
O1 0.000 0.000 0.268
O2 0.000 0.500 0.000
O3 0.000 0.500 0.500
O4 0.500 0.500 0.257
# Density of states at the Fermi level, states/eV/f.u.: 2.8
# Size of the total moment, μB/cell: 0.0
# Crystal system: tetragonal

It turns out A is the most stable, with the second structure 87 meV/atom higher.

--- A ---
# BaCa2MgPd, relaxed, DFT PBE
data_BaCa2MgPd
_chemical_formula_sum 'Ba1 Ca2 Mg1 Pd1'
_space_group_name_H-M_alt 'P 4/m m m'
_space_group_IT_number 123
_space_group_name_Hall '-P 4 2'
_cell_length_a 5.649
_cell_length_b 5.649
_cell_length_c 6.151
_cell_angle_alpha 90.00
_cell_angle_beta 90.00
_cell_angle_gamma 90.00
loop_
_atom_site_label
_atom_site_fract_x
_atom_site_fract_y
_atom_site_fract_z
Ba1 0.000 0.000 0.000
Ca1 0.000 0.500 0.500
Mg1 0.500 0.500 0.000
Pd1 0.000 0.000 0.500
# Density of states at the Fermi level, states/eV/f.u.: 3.4
# Size of the total moment, μB/cell: 0.0
# Crystal system: tetragonal

--- B ---
# BaCa2MgPd, relaxed, DFT PBE
data_BaCa2MgPd
_chemical_formula_sum 'Ba1 Ca2 Mg1 Pd1'
_space_group_name_H-M_alt 'P 4/m m m'
_space_group_IT_number 123
_space_group_name_Hall '-P 4 2'
_cell_length_a 5.681
_cell_length_b 5.681
_cell_length_c 5.377
_cell_angle_alpha 90.00
_cell_angle_beta 90.00
_cell_angle_gamma 90.00
loop_
_atom_site_label
_atom_site_fract_x
_atom_site_fract_y
_atom_site_fract_z
Ba1 0.000 0.000 0.000
Ca1 0.000 0.500 0.500
Mg1 0.500 0.500 0.000
Pd1 0.500 0.500 0.500
# Density of states at the Fermi level, states/eV/f.u.: 4.7
# Size of the total moment, μB/cell: 0.0
# Crystal system: tetragonal

It turns out B is the most stable, with the second structure 70 meV/atom higher.